## SrErAg (GGA-PBE)

Data for a relaxed structure of SrErAg.

```
SrErAg
1.0
4.885 0.000 0.000
0.000 4.885 0.000
0.000 0.000 8.224
Sr Er Ag
2 2 2
direct
0.250 0.250 0.139 Sr
0.750 0.750 0.861 Sr
0.250 0.750 0.500 Er
0.750 0.250 0.500 Er
0.250 0.250 0.719 Ag
0.750 0.750 0.281 Ag
```

Density, g/cm3: 6.1
Total magnetization, μB/atom: 0.000
DOS at the Fermi energy, states/eV per cell: 7.66
Space-group type: P4/nmm (129)
Energy of formation from the pure elements, eV per formula unit: -0.45